# Li4Co5CuO12 | Alexandria via LeMat-Bulk | PBE with a Hubbard U | optimized geometry
# Electronic total energy = -244.9 eV/cell
data_Li4Co5CuO12
_cell_length_a 4.884
_cell_length_b 8.519
_cell_length_c 9.911
_cell_angle_alpha 90.00
_cell_angle_beta 99.42
_cell_angle_gamma 90.00
_space_group_name_H-M_alt 'C 1 2/m 1'
_space_group_IT_number 12
loop_
_space_group_symop_operation_xyz
'x,y,z'
'-x,-y,-z'
'-x,y,-z'
'x,-y,z'
'x+1/2,y+1/2,z'
'-x+1/2,-y+1/2,-z'
'-x+1/2,y+1/2,-z'
'x+1/2,-y+1/2,z'
loop_
_atom_site_label
_atom_site_type_symbol
_atom_site_fract_x
_atom_site_fract_y
_atom_site_fract_z
Li1 Li 0.088 0.169 0.255
Co1 Co 0.000 0.000 0.500
Co2 Co 0.000 0.167 0.000
Co3 Co 0.000 0.334 0.500
Cu1 Cu 0.000 0.500 0.000
O1 O 0.129 0.000 0.898
O2 O 0.136 0.326 0.894
O3 O 0.195 0.168 0.602
O4 O 0.211 0.500 0.603